{"formula": "SiHg4Se6", "functional": "SCAN", "state": "single point on PBEsol structure", "lattice": [[-2.732, -5.641, -3.958], [4.556, -4.326, -3.920], [1.835, -10.578, 6.867]], "species": ["Hg", "Hg", "Hg", "Hg", "Hg", "Hg", "Hg", "Hg", "Se", "Se", "Se", "Se", "Se", "Se", "Se", "Se", "Se", "Se", "Se", "Se", "Si", "Si"], "fractional_positions": [[0.271, 0.007, 0.640], [0.083, 0.507, 0.140], [0.768, 0.227, 0.459], [0.546, 0.727, 0.959], [0.903, 0.645, 0.655], [0.797, 0.145, 0.155], [0.676, 0.239, 0.812], [0.272, 0.739, 0.312], [0.426, 0.517, 0.149], [0.907, 0.017, 0.649], [0.466, 0.618, 0.486], [0.429, 0.118, 0.986], [0.473, 0.118, 0.439], [0.970, 0.618, 0.939], [0.981, 0.079, 0.945], [0.994, 0.579, 0.445], [0.031, 0.160, 0.268], [0.541, 0.660, 0.768], [0.268, 0.324, 0.709], [0.699, 0.824, 0.209], [0.671, 0.787, 0.396], [0.145, 0.287, 0.896]], "n_ef_per_ev_cell": 1.17, "formation_energy_uncorrected_ev_per_atom": -0.272, "mass_density_g_cm3": 7.588, "sg": "Cc"}



{"formula": "SiHg2Se", "functional": "SCAN", "state": "single point on PBEsol structure", "lattice": [[-1.915, -0.954, 1.675], [3.580, -3.045, 2.440], [1.175, 4.522, 3.920]], "species": ["Hg", "Hg", "Se", "Si"], "fractional_positions": [[0.725, 0.249, 0.000], [0.275, 0.751, 0.000], [0.500, 0.500, 0.500], [0.500, 0.000, 0.500]], "n_ef_per_ev_cell": 1.68, "formation_energy_uncorrected_ev_per_atom": 0.372, "polymorph_energy_kj_per_mol_fu": 94, "mass_density_g_cm3": 9.617, "sg": "P2/m"}



{"formula": "SnHgSe2", "functional": "SCAN", "state": "single point on PBEsol structure", "lattice": [[3.759, 0.000, 0.000], [1.879, 3.255, 0.000], [1.879, 1.085, 10.137]], "species": ["Hg", "Se", "Se", "Sn"], "fractional_positions": [[0.000, 0.000, 0.000], [0.886, 0.886, 0.341], [0.114, 0.114, 0.659], [0.500, 0.500, 0.500]], "n_ef_per_ev_cell": 0.09, "formation_energy_uncorrected_ev_per_atom": -0.196, "mass_density_g_cm3": 6.389, "sg": "R-3m"}



{"formula": "SnHg3Se", "functional": "SCAN", "state": "single point on PBEsol structure", "lattice": [[5.384, 0.000, 0.000], [0.000, 5.384, 0.000], [0.000, 0.000, 5.384]], "species": ["Hg", "Hg", "Hg", "Se", "Sn"], "fractional_positions": [[0.000, 0.500, 0.000], [0.000, 0.000, 0.500], [0.500, 0.000, 0.000], [0.500, 0.500, 0.500], [0.000, 0.000, 0.000]], "n_ef_per_ev_cell": 5.03, "formation_energy_uncorrected_ev_per_atom": 0.342, "mass_density_g_cm3": 8.507, "sg": "Pm-3m"}



{"formula": "SrHgSe2", "functional": "SCAN", "state": "single point on PBEsol structure", "lattice": [[-2.199, -2.148, -2.264], [3.944, -2.799, -1.176], [-0.998, -3.016, 3.832]], "species": ["Hg", "Se", "Se", "Sr"], "fractional_positions": [[0.500, 0.000, 0.000], [0.000, 0.000, 0.500], [0.000, 0.500, 0.000], [0.500, 0.500, 0.500]], "n_ef_per_ev_cell": 2.09, "formation_energy_uncorrected_ev_per_atom": -0.910, "mass_density_g_cm3": 7.833, "sg": "P4/mmm"}



{"formula": "SrHgSe2", "functional": "SCAN", "state": "single point on PBEsol structure", "lattice": [[4.122, 0.000, -0.179], [0.000, 4.439, 0.000], [-1.962, 0.000, 6.366]], "species": ["Sr", "Hg", "Se", "Se"], "fractional_positions": [[0.443, 0.000, 0.419], [0.031, 0.500, 0.966], [0.132, 0.000, 0.796], [0.894, 0.500, 0.319]], "formation_energy_uncorrected_ev_per_atom": -1.191, "mass_density_g_cm3": 6.446, "sg": "Pm"}



{"formula": "SrHg2Se", "functional": "SCAN", "state": "single point on PBEsol structure", "lattice": [[-0.701, 2.887, 2.985], [0.388, -2.969, 2.963], [5.932, 1.044, 0.384]], "species": ["Hg", "Hg", "Se", "Sr"], "fractional_positions": [[0.000, 0.114, 0.131], [0.500, 0.616, 0.131], [0.000, 0.636, 0.564], [0.500, 0.133, 0.674]], "n_ef_per_ev_cell": 0.59, "formation_energy_uncorrected_ev_per_atom": -0.986, "mass_density_g_cm3": 8.806, "sg": "Pm"}



{"formula": "SrHgSe2", "functional": "SCAN", "state": "single point on PBEsol structure", "lattice": [[-2.112, 7.071, -1.083], [-5.949, -2.364, -3.830], [1.833, -2.476, 5.945]], "species": ["Sr", "Sr", "Hg", "Hg", "Se", "Se", "Se", "Se"], "fractional_positions": [[0.750, 0.250, 0.500], [0.500, 0.500, 0.000], [0.250, 0.750, 0.500], [0.000, 0.000, 0.000], [0.336, 0.875, 0.250], [0.914, 0.375, 0.250], [0.125, 0.086, 0.750], [0.625, 0.664, 0.750]], "formation_energy_uncorrected_ev_per_atom": -1.092, "mass_density_g_cm3": 6.456, "sg": "I-42d"}